(1)
First-principles (PBE) data for a relaxed structure of ZnH6Ir2Pd, as listed in Alexandria.

Final energy = -87.16 eV for the cell shown
SG = C2/c (15)
N(E_F) = 6.19 states/eV per cell
Magnetic moment = 0.00 μB per formula unit

Lattice parameters (Å, degrees): 6.394 6.394 4.508 102.65 102.65 91.70
Fractional coordinates of all 20 atoms:
H 0.938 0.390 0.064
H 0.439 0.858 0.066
H 0.610 0.062 0.436
H 0.390 0.938 0.564
H 0.561 0.142 0.934
H 0.298 0.280 0.203
H 0.062 0.610 0.936
H 0.720 0.702 0.297
H 0.280 0.298 0.703
H 0.142 0.561 0.434
H 0.858 0.439 0.566
H 0.702 0.720 0.797
Pd 0.609 0.391 0.250
Pd 0.391 0.609 0.750
Zn 0.125 0.875 0.250
Zn 0.875 0.125 0.750
Ir 0.061 0.284 0.343
Ir 0.284 0.061 0.843
Ir 0.716 0.939 0.157
Ir 0.939 0.716 0.657

(2)
First-principles (PBE) data for a relaxed structure of NiTeCl2, as listed in Alexandria.

Final energy = -24.12 eV for the cell shown
SG = I-42d (122)
Relative energy among the computed polymorphs = 539 meV per atom
N(E_F) = 7.28 states/eV per cell
Magnetic moment = 0.70 μB per formula unit
Uncorrected formation energy = 0.139 eV/atom

Lattice parameters (Å, degrees): 6.604 6.604 6.699 60.47 60.47 90.00
Last column: magnetic moment on the atom in μB.
Fractional coordinates of all 8 atoms:
Ni 0.250 0.750 0.500  0.99
Ni 0.500 0.500 0.000  0.98
Te 0.750 0.250 0.500  -0.30
Te 0.000 0.000 0.000  -0.28
Cl 0.875 0.755 0.750  0.09
Cl 0.505 0.125 0.250  0.09
Cl 0.245 0.625 0.250  0.08
Cl 0.375 0.495 0.750  0.10

(3)
First-principles (PBE) data for a relaxed structure of DyInPb2, as listed in Alexandria.

Final energy = -15.08 eV for the cell shown
SG = Fm-3m (225)
Relative energy among the computed polymorphs = 227 meV per atom
N(E_F) = 3.86 states/eV per cell
ΔE_f = -0.08 eV/atom
Magnetic moment = 0.00 μB per formula unit

Lattice parameters (Å, degrees): 5.490 5.490 5.495 60.03 60.03 60.00
Fractional coordinates of all 4 atoms:
In 0.500 0.500 0.500
Pb 0.250 0.250 0.251
Pb 0.750 0.750 0.749
Dy 0.000 0.000 0.000

(4)
First-principles (PBE) data for a relaxed structure of Y3PuTh4S8, as listed in Alexandria.

Final energy = -126.73 eV for the cell shown
SG = R-3m (166)
N(E_F) = 11.37 states/eV per cell
Magnetic moment = 5.26 μB per formula unit
Uncorrected formation energy = -1.894 eV/atom

Lattice parameters (Å, degrees): 7.858 8.076 7.859 119.11 120.00 90.00
Last column: magnetic moment on the atom in μB.
Fractional coordinates of all 16 atoms:
Th 0.500 0.000 0.000  -0.06
Th 0.500 0.000 0.500  -0.02
Th 0.000 0.000 0.000  -0.02
Th 0.000 0.000 0.500  -0.02
S 0.745 0.736 0.490  0.00
S 0.256 0.263 0.010  -0.02
S 0.255 0.264 0.510  0.00
S 0.754 0.263 0.010  -0.02
S 0.246 0.737 0.990  -0.02
S 0.754 0.263 0.507  -0.02
S 0.744 0.737 0.990  -0.02
S 0.246 0.737 0.493  -0.02
Y 0.000 0.500 0.500  0.01
Y 0.500 0.500 0.500  0.01
Y 0.500 0.500 0.000  0.01
Pu 0.000 0.500 0.000  5.24

(5)
First-principles (PBE) data for a relaxed structure of AcAl2ZnGa4, as listed in Alexandria.

Final energy = -26.46 eV for the cell shown
SG = R-3m (166)
N(E_F) = 3.80 states/eV per cell
ΔE_f = -0.19 eV/atom
Magnetic moment = 0.00 μB per formula unit

Lattice parameters (Å, degrees): 4.705 4.705 9.076 74.98 74.98 60.00
Fractional coordinates of all 8 atoms:
Al 0.761 0.761 0.716
Al 0.239 0.239 0.284
Ac 0.000 0.000 0.000
Ga 0.132 0.132 0.604
Ga 0.596 0.596 0.211
Ga 0.404 0.404 0.789
Ga 0.868 0.868 0.396
Zn 0.500 0.500 0.500

(6)
First-principles (PBE) data for a relaxed structure of EuBePd2, as listed in Alexandria.

Final energy = -26.46 eV for the cell shown
SG = R-3m (166)
N(E_F) = 13.22 states/eV per cell
ΔE_f = -0.52 eV/atom
Magnetic moment = 6.98 μB per formula unit

Lattice parameters (Å, degrees): 4.090 4.090 5.770 69.24 69.24 60.00
Last column: magnetic moment on the atom in μB.
Fractional coordinates of all 4 atoms:
Be 0.000 0.000 0.000  -0.01
Eu 0.500 0.500 0.500  6.78
Pd 0.293 0.293 0.121  -0.02
Pd 0.707 0.707 0.879  -0.02

(7)
First-principles (PBE) data for a relaxed structure of Nd2DyAu2, as listed in Alexandria.

Final energy = -47.87 eV for the cell shown
SG = P4/mbm (127)
Relative energy among the computed polymorphs = 0 meV per atom
N(E_F) = 10.57 states/eV per cell
ΔE_f = -0.65 eV/atom
Magnetic moment = 0.00 μB per formula unit

Lattice parameters (Å, degrees): 3.923 8.332 8.332 90.00 90.00 90.00
Fractional coordinates of all 10 atoms:
Nd 0.500 0.666 0.834
Nd 0.500 0.334 0.166
Nd 0.500 0.166 0.666
Nd 0.500 0.834 0.334
Au 0.000 0.870 0.630
Au 0.000 0.370 0.870
Au 0.000 0.630 0.130
Au 0.000 0.130 0.370
Dy 0.000 0.000 0.000
Dy 0.000 0.500 0.500

(8)
First-principles (PBE) data for a relaxed structure of PmMoAs2, as listed in Alexandria.

Final energy = -27.30 eV for the cell shown
SG = R-3m (166)
Relative energy among the computed polymorphs = 0 meV per atom
N(E_F) = 2.78 states/eV per cell
ΔE_f = -0.61 eV/atom
Magnetic moment = 1.91 μB per formula unit

Lattice parameters (Å, degrees): 4.043 4.043 6.516 71.93 71.93 60.00
Last column: magnetic moment on the atom in μB.
Fractional coordinates of all 4 atoms:
As 0.235 0.235 0.294  -0.01
As 0.765 0.765 0.706  -0.01
Mo 0.500 0.500 0.500  1.68
Pm 0.000 0.000 0.000  -0.01

(9)
First-principles (PBE) data for a relaxed structure of Ba2HgPd6Pb, as listed in Alexandria.

Final energy = -43.00 eV for the cell shown
SG = P-1 (2)
N(E_F) = 2.88 states/eV per cell
ΔE_f = -0.40 eV/atom
Magnetic moment = 0.00 μB per formula unit

Lattice parameters (Å, degrees): 6.947 7.133 6.952 58.95 61.79 89.94
Fractional coordinates of all 10 atoms:
Pd 0.327 0.839 0.776
Pd 0.386 0.327 0.512
Pd 0.673 0.161 0.224
Pd 0.161 0.385 0.942
Pd 0.839 0.615 0.058
Pd 0.614 0.673 0.488
Ba 0.798 0.203 0.594
Ba 0.202 0.797 0.406
Pb 0.500 0.500 0.000
Hg 0.000 0.000 0.000

(10)
First-principles (PBE) data for a relaxed structure of BiPtAu, as listed in Alexandria.

Final energy = -13.54 eV for the cell shown
SG = F-43m (216)
Relative energy among the computed polymorphs = 0 meV per atom
N(E_F) = 1.87 states/eV per cell
ΔE_f = -0.11 eV/atom
Magnetic moment = 0.00 μB per formula unit

Lattice parameters (Å, degrees): 4.623 4.623 4.623 60.00 60.00 60.00
Fractional coordinates of all 3 atoms:
Bi 0.000 0.000 0.000
Au 0.500 0.500 0.500
Pt 0.250 0.250 0.250

What is the formula in the fourth record?
Y3PuTh4S8

What is the final energy in the fourth record?
-126.73 eV for the cell shown